Record 1
RbMgZrCl6 (PBE-GGA, relaxed); DOS at the Fermi energy = 0.42 states/eV/atom; SG = P-31c, No. 163; total energy = -38.4 eV/f.u.; uncorrected formation energy = -1.80 eV/atom
1.0
6.7316 0.0000 0.0000
-3.3658 5.8297 0.0000
0.0000 0.0000 14.5042
Rb Mg Zr Cl
2 2 2 12
direct
0.0000 0.0000 0.0000
0.0000 0.0000 0.5000
0.3333 0.6667 0.2500
0.6667 0.3333 0.7500
0.6667 0.3333 0.2500
0.3333 0.6667 0.7500
0.6172 0.6218 0.1501
0.0046 0.3828 0.1501
0.3828 0.0046 0.6501
0.9954 0.6172 0.8499
0.3782 0.3828 0.3499
0.0046 0.6218 0.3499
0.6218 0.0046 0.8499
0.6172 0.9954 0.3499
0.9954 0.3782 0.6501
0.3782 0.9954 0.1501
0.6218 0.6172 0.6501
0.3828 0.3782 0.8499

Record 2
MgReCl2 (PBE-GGA, relaxed); DOS at the Fermi energy = 0.55 states/eV/atom; distance to the lowest polymorph of the same formula = 0.47 eV/f.u.; SG = Immm, No. 71; total energy = -17.9 eV/f.u.; uncorrected formation energy = -0.03 eV/atom
1.0
7.4480 0.0032 -0.0088
5.3033 5.2294 0.0088
-5.9228 -3.7199 2.5603
Cl Mg Re
2 1 1
direct
0.8884 0.8884 0.0000
0.6116 0.6116 0.0000
0.2500 0.7500 0.5000
0.7500 0.2500 0.5000

Record 3
MgReCl (PBE-GGA, relaxed); DOS at the Fermi energy = 1.00 states/eV/atom; distance to the lowest polymorph of the same formula = 1.36 eV/f.u.; SG = P3m1, No. 156; total energy = -13.9 eV/f.u.; uncorrected formation energy = 0.67 eV/atom
1.0
-0.9630 -4.3229 -0.7677
4.2626 1.2730 0.6434
-0.2918 -0.4292 2.7830
Cl Mg Re
1 1 1
direct
0.0000 0.0000 0.8343
0.6667 0.3333 0.3320
0.3333 0.6667 0.8337

Record 4
MgRe2Cl (PBE-GGA, relaxed); DOS at the Fermi energy = 0.92 states/eV/atom; distance to the lowest polymorph of the same formula = 2.14 eV/f.u.; SG = Immm, No. 71; total energy = -26.0 eV/f.u.; uncorrected formation energy = 0.59 eV/atom
1.0
5.7076 -0.0008 -0.0066
3.2001 4.7261 0.0066
-3.9054 -3.3965 2.4059
Cl Mg Re
1 1 2
direct
0.7500 0.2500 0.5000
0.2500 0.7500 0.5000
0.9796 0.9796 0.0000
0.5204 0.5204 0.0000

Record 5
Mg2ReCl (PBE-GGA, relaxed); DOS at the Fermi energy = 0.84 states/eV/atom; distance to the lowest polymorph of the same formula = 2.72 eV/f.u.; SG = Immm, No. 71; total energy = -15.4 eV/f.u.; uncorrected formation energy = 0.51 eV/atom
1.0
5.4316 0.0018 0.0010
2.0796 5.0177 -0.0010
-2.8889 -3.8067 2.5817
Cl Mg Re
1 2 1
direct
0.2500 0.7500 0.5000
0.0195 0.0195 0.0000
0.4805 0.4805 0.0000
0.7500 0.2500 0.5000

Record 6
MgReCl2 (PBE-GGA, relaxed); DOS at the Fermi energy = 0.37 states/eV/atom; distance to the lowest polymorph of the same formula = 0.47 eV/f.u.; SG = Imm2, No. 44; total energy = -17.9 eV/f.u.; uncorrected formation energy = -0.03 eV/atom
1.0
8.6573 2.3464 -0.4890
6.6035 6.0702 0.4890
-7.3790 -4.6641 2.1188
Cl Mg Re
2 1 1
direct
0.9798 0.9798 0.0000
0.2632 0.7632 0.5000
0.5605 0.5605 0.0000
0.6966 0.1966 0.5000

Record 7
MgReCl2 (PBE-GGA, relaxed); DOS at the Fermi energy = 0.80 states/eV/atom; distance to the lowest polymorph of the same formula = 1.46 eV/f.u.; SG = P2/m, No. 10; total energy = -16.9 eV/f.u.; uncorrected formation energy = 0.22 eV/atom
1.0
-0.8683 3.5124 1.9721
-2.1992 -1.3942 1.5148
4.1734 -1.0477 3.7036
Cl Mg Re
2 1 1
direct
0.0000 0.8289 0.9937
0.0000 0.6711 0.5063
0.5000 0.2500 0.2500
0.5000 0.7500 0.7500

Record 8
MgRe2Cl2 (PBE-GGA, relaxed); DOS at the Fermi energy = 0.84 states/eV/atom; distance to the lowest polymorph of the same formula = 2.38 eV/f.u.; SG = P4/mbm, No. 127; total energy = -24.1 eV/f.u.; uncorrected formation energy = 1.21 eV/atom
1.0
-5.2362 -2.0792 -5.5043
-1.3121 -6.7701 3.8055
-2.0267 1.2179 1.4679
Re Mg Cl
4 2 4
direct
0.2041 0.7041 0.5000
0.7041 0.7959 0.5000
0.7959 0.2959 0.5000
0.2959 0.2041 0.5000
0.0000 0.0000 0.0000
0.5000 0.5000 0.0000
0.3733 0.8733 0.0000
0.8733 0.6267 0.0000
0.6267 0.1267 0.0000
0.1267 0.3733 0.0000

Record 9
MgReCl2 (PBE-GGA, relaxed); DOS at the Fermi energy = 0.49 states/eV/atom; distance to the lowest polymorph of the same formula = 0.00 eV/f.u.; SG = Pm, No. 6; total energy = -18.3 eV/f.u.; uncorrected formation energy = -0.15 eV/atom
1.0
-2.8139 0.6387 -0.8978
-1.6111 -2.4375 3.3156
-1.1791 4.1308 6.6344
Cl Mg Re
2 1 1
direct
0.0000 0.8793 0.9195
0.5000 0.0536 0.3561
0.0000 0.5758 0.5461
0.5000 0.9912 0.6783

Record 10
Mg2ReCl (PBE-GGA, relaxed); DOS at the Fermi energy = 0.30 states/eV/atom; distance to the lowest polymorph of the same formula = 3.99 eV/f.u.; SG = F-43m, No. 216; total energy = -14.2 eV/f.u.; uncorrected formation energy = 0.83 eV/atom
1.0
-1.0032 4.1561 2.0009
-3.8981 0.4790 2.6190
0.3488 0.5120 4.6797
Cl Mg Re
1 2 1
direct
0.5000 0.5000 0.5000
0.0000 0.0000 0.0000
0.2500 0.2500 0.2500
0.7500 0.7500 0.7500

Record 11
Mg2ReCl (PBE-GGA, relaxed); DOS at the Fermi energy = 0.95 states/eV/atom; distance to the lowest polymorph of the same formula = 3.28 eV/f.u.; SG = Pmmm, No. 47; total energy = -14.9 eV/f.u.; uncorrected formation energy = 0.65 eV/atom
1.0
2.9448 0.0000 0.0000
0.0000 5.0478 0.0000
0.0000 0.0000 4.7949
Cl Mg Re
1 2 1
direct
0.0000 0.5000 0.5000
0.0000 0.0000 0.0000
0.5000 0.5000 0.0000
0.5000 0.0000 0.5000

Record 12
MgRe2Cl (PBE-GGA, relaxed); DOS at the Fermi energy = 1.32 states/eV/atom; distance to the lowest polymorph of the same formula = 2.78 eV/f.u.; SG = R-3m, No. 166; total energy = -25.3 eV/f.u.; uncorrected formation energy = 0.75 eV/atom
1.0
-6.5179 6.3459 1.1394
-8.1525 4.0194 1.1971
-6.8671 4.9133 3.5713
Cl Mg Re
1 1 2
direct
0.2500 0.2500 0.2500
0.7500 0.7500 0.7500
0.9961 0.9961 0.9961
0.5039 0.5039 0.5039